Record 1
A geometry-optimized Tb4Tl3H2 structure, computed with PBE.

abc: 5.8670 5.8670 8.4684
angles: 98.49 98.49 43.91
Last column: nearest neighbours and their distance in Å.
Fractional positions:
Tb  0.1296  0.1296  0.4191  3 H 2.21-2.34
Tb  0.2835  0.2835  0.8538  1 H 2.19
Tb  0.7165  0.7165  0.1462  1 H 2.19
Tb  0.8704  0.8704  0.5809  3 H 2.21-2.34
Tl  0.0000  0.0000  0.0000  8 Tb 3.31-3.60, 4 Tl 3.44
Tl  0.4165  0.4165  0.2767  2 H 3.10-3.19, 4 Tb 3.16-3.28, 2 Tl 3.44
Tl  0.5835  0.5835  0.7233  2 H 3.10-3.19, 4 Tb 3.16-3.28, 2 Tl 3.44
H  0.3002  0.3002  0.5989  4 Tb 2.19-2.34
H  0.6998  0.6998  0.4011  4 Tb 2.19-2.34

Properties
**Crystal system**: monoclinic
**Symmetry**: C2/m, No. 12

***

Record 2
A geometry-optimized Be3In structure, computed with PBE.

abc: 4.2875 3.4951 6.9693
angles: 90.00 99.52 90.00
Last column: nearest neighbours and their distance in Å.
Fractional positions:
Be  0.0930  0.2500  0.4300  7 Be 2.02-2.23
Be  0.2174  0.2500  0.7231  1 Be 2.02
Be  0.3815  0.7500  0.5402  6 Be 2.08-2.23
Be  0.6185  0.2500  0.4598  6 Be 2.08-2.23
Be  0.7826  0.7500  0.2769  1 Be 2.02
Be  0.9070  0.7500  0.5700  7 Be 2.02-2.23
In  0.2771  0.2500  0.1065  3 Be 2.51-2.65
In  0.7229  0.7500  0.8935  3 Be 2.51-2.65

Properties
**ΔH_f (0 K)**: 247 meV/atom
**Crystal system**: monoclinic
**Offset from the most stable computed form**: 0.015 eV/atom
**Symmetry**: P2_1/m, No. 11

***

Record 3
A geometry-optimized CaFeAg2 structure, computed with PBE.

abc: 10.2395 10.2395 10.2395
angles: 156.37 156.37 33.66
Last column: nearest neighbours and their distance in Å.
Fractional positions:
Ca  0.0000  0.0000  0.0000  4 Ag 2.92, 4 Fe 2.97
Ca  0.7500  0.2500  0.5000  4 Ag 2.92, 4 Fe 2.97
Fe  0.2500  0.7500  0.5000  4 Ag 2.81, 4 Ca 2.97
Fe  0.5000  0.5000  0.0000  4 Ag 2.81, 4 Ca 2.97
Ag  0.1590  0.6250  0.0340  2 Ag 2.77, 2 Fe 2.81, 2 Ca 2.92
Ag  0.3750  0.4090  0.5340  2 Ag 2.77, 2 Fe 2.81, 2 Ca 2.92
Ag  0.5910  0.1250  0.9660  2 Ag 2.77, 2 Fe 2.81, 2 Ca 2.92
Ag  0.8750  0.8410  0.4660  2 Ag 2.77, 2 Fe 2.81, 2 Ca 2.92

Properties
**ΔH_f (0 K)**: 498 meV/atom
**Crystal system**: tetragonal
**Offset from the most stable computed form**: 0.297 eV/atom
**Symmetry**: I-42d, No. 122

***

Listing VASP energy for the structures above in their given order: -3.9903 -3.2321 -3.5435 eV/atom.